[1]
A geometry-optimized Dy3Hg5Pb structure, computed with PBE.

The structure belongs to space group P6_3/mcm (No. 193); the cell edges are 9.0221, 9.0221 and 6.4325 Å and the angles 90.00°, 90.00° and 120.00°. The inequivalent atoms are Dy at (0.0000, 0.3382, 0.2500), Hg at (0.0000, 0.3357, 0.7500), Hg at (0.3333, 0.6667, 0.0000) and Pb at (0.0000, 0.0000, 0.0000).

The calculation puts the volume at 25.192 Å³/atom. The energy relative to the elements comes out at -0.39 eV per atom.

[2]
A geometry-optimized Dy3Hg4Pb structure, computed with PBE.

The structure belongs to space group R-3m (No. 166, hexagonal axes); the cell edges are 5.2337, 5.2337 and 26.1991 Å and the angles 90.00°, 90.00° and 120.00°. The inequivalent atoms are Dy at (0.0000, 0.0000, 0.0000), Dy at (0.0000, 0.0000, 0.2442), Hg at (0.0000, 0.0000, 0.1186), Hg at (0.0000, 0.0000, 0.3679) and Pb at (0.0000, 0.0000, 0.5000).

The calculation puts the volume at 25.896 Å³/atom. The energy relative to the elements comes out at -0.40 eV per atom.

[3]
A geometry-optimized Dy2HgPb structure, computed with PBE.

The structure belongs to space group P4/mmm (No. 123); the cell edges are 3.829, 3.829 and 7.355 Å and the angles 90.00°, 90.00° and 90.00°. The inequivalent atoms are Dy at (0.000, 0.000, 0.242), Hg at (0.500, 0.500, 0.000) and Pb at (0.500, 0.500, 0.500).

The calculation puts the volume at 26.960 Å³/atom. The energy relative to the elements comes out at -0.45 eV per atom.

[4]
A geometry-optimized DyHg6Pb structure, computed with PBE.

The structure belongs to space group R-3m (No. 166, hexagonal axes); the cell edges are 6.2550, 6.2550 and 23.6375 Å and the angles 90.00°, 90.00° and 120.00°. The inequivalent atoms are Dy at (0.0000, 0.0000, 0.0000), Hg at (0.0109, 0.5054, 0.4339) and Pb at (0.0000, 0.0000, 0.5000).

The calculation puts the energy above the most stable polymorph in this dataset at 256 meV/atom. The calculation puts the volume at 33.372 Å³/atom. The energy relative to the elements comes out at 0.11 eV per atom.

[5]
A geometry-optimized DyHg2Pb structure, computed with PBE.

The structure belongs to space group R3m (No. 160, hexagonal axes); the cell edges are 4.7722, 4.7722 and 17.7235 Å and the angles 90.00°, 90.00° and 120.00°. The inequivalent atoms are Dy at (0.0000, 0.0000, 0.0000), Hg at (0.0000, 0.0000, 0.4022), Hg at (0.0000, 0.0000, 0.5813) and Pb at (0.0000, 0.0000, 0.8119).

The calculation puts the volume at 29.130 Å³/atom. The energy relative to the elements comes out at -0.18 eV per atom.

[6]
A geometry-optimized DyHg6Pb2 structure, computed with PBE.

The structure belongs to space group C2/m (No. 12); the cell edges are 5.731, 17.066 and 5.529 Å and the angles 90.00°, 117.73° and 90.00°. The inequivalent atoms are Dy at (0.000, 0.000, 0.000), Hg at (0.165, 0.500, 0.335), Hg at (0.170, 0.340, 0.841) and Pb at (0.000, 0.176, 0.500).

The calculation puts the volume at 26.590 Å³/atom. The energy relative to the elements comes out at -0.10 eV per atom.

[7]
A geometry-optimized Dy4Hg5Pb structure, computed with PBE.

The structure belongs to space group P4/mmm (No. 123); the cell edges are 3.760, 3.760 and 18.400 Å and the angles 90.00°, 90.00° and 90.00°. The inequivalent atoms are Dy at (0.000, 0.000, 0.099), Dy at (0.000, 0.000, 0.300), Hg at (0.500, 0.500, 0.000), Hg at (0.500, 0.500, 0.195), Hg at (0.500, 0.500, 0.393) and Pb at (0.000, 0.000, 0.500).

The calculation puts the volume at 26.012 Å³/atom. The energy relative to the elements comes out at -0.40 eV per atom.

[8]
A geometry-optimized DyHgPb structure, computed with PBE.

The structure belongs to space group Cmcm (No. 63); the cell edges are 3.712, 17.865 and 4.982 Å and the angles 90.00°, 90.00° and 90.00°. The inequivalent atoms are Dy at (0.000, 0.097, 0.250), Hg at (0.000, 0.451, 0.250) and Pb at (0.000, 0.282, 0.250).

The calculation puts the volume at 27.532 Å³/atom. The energy relative to the elements comes out at -0.30 eV per atom.

[9]
A geometry-optimized Dy5Hg2Pb2 structure, computed with PBE.

The structure belongs to space group Cmce (No. 64); the cell edges are 15.860, 8.317 and 7.839 Å and the angles 90.00°, 90.00° and 90.00°. The inequivalent atoms are Dy at (0.000, 0.000, 0.000), Dy at (0.135, 0.174, 0.336), Hg at (0.000, 0.132, 0.631) and Pb at (0.208, 0.000, 0.000).

The calculation puts the volume at 28.723 Å³/atom. The energy relative to the elements comes out at -0.44 eV per atom.

[10]
A geometry-optimized Dy2HgPb5 structure, computed with PBE.

The structure belongs to space group Pbam (No. 55); the cell edges are 6.807, 13.605 and 4.850 Å and the angles 90.00°, 90.00° and 90.00°. The inequivalent atoms are Dy at (0.246, 0.125, 0.000), Hg at (0.000, 0.500, 0.500), Pb at (0.000, 0.000, 0.500), Pb at (0.007, 0.748, 0.500) and Pb at (0.241, 0.378, 0.000).

The calculation puts the volume at 28.073 Å³/atom. The energy relative to the elements comes out at -0.30 eV per atom.

Look up the volume of the eighth one. 27.532 Å³/atom